*1*
Density functional theory data (GGA-PBE) for an optimized crystal structure of Mn2BPb.

```
data_Mn2BPb
_symmetry_space_group_name_H-M 'F m -3 m'
_symmetry_Int_Tables_number 225
_symmetry_space_group_name_Hall '-F 4 2 3'
_cell_length_a 5.977
_cell_length_b 5.977
_cell_length_c 5.977
_cell_angle_alpha 90.00
_cell_angle_beta 90.00
_cell_angle_gamma 90.00
loop_
_atom_site_label
_atom_site_fract_x
_atom_site_fract_y
_atom_site_fract_z
Mn1 0.250 0.250 0.250
B1 0.000 0.000 0.000
Pb1 0.000 0.000 0.500
```

---

*2*
Density functional theory data (GGA-PBE) for an optimized crystal structure of Mn2BPb.

```
data_Mn2BPb
_symmetry_space_group_name_H-M 'I -4 2 d'
_symmetry_Int_Tables_number 122
_symmetry_space_group_name_Hall 'I -4 2bw'
_cell_length_a 5.457
_cell_length_b 5.457
_cell_length_c 10.179
_cell_angle_alpha 90.00
_cell_angle_beta 90.00
_cell_angle_gamma 90.00
loop_
_atom_site_label
_atom_site_fract_x
_atom_site_fract_y
_atom_site_fract_z
Mn1 0.106 0.250 0.125
B1 0.000 0.000 0.000
Pb1 0.000 0.000 0.500
```

---

Stability summary: most stable *2*, least stable *1*.

---

*1*
Density functional theory data (GGA-PBE) for an optimized crystal structure of MnBPd3.

```
data_MnBPd3
_symmetry_space_group_name_H-M 'P m -3 m'
_symmetry_Int_Tables_number 221
_symmetry_space_group_name_Hall '-P 4 2 3'
_cell_length_a 4.174
_cell_length_b 4.174
_cell_length_c 4.174
_cell_angle_alpha 90.00
_cell_angle_beta 90.00
_cell_angle_gamma 90.00
loop_
_atom_site_label
_atom_site_fract_x
_atom_site_fract_y
_atom_site_fract_z
Mn1 0.000 0.000 0.000
B1 0.500 0.500 0.500
Pd1 0.000 0.500 0.500
```

---

*2*
Density functional theory data (GGA-PBE) for an optimized crystal structure of MnBPd3.

```
data_MnBPd3
_symmetry_space_group_name_H-M 'P m -3 m'
_symmetry_Int_Tables_number 221
_symmetry_space_group_name_Hall '-P 4 2 3'
_cell_length_a 4.527
_cell_length_b 4.527
_cell_length_c 4.527
_cell_angle_alpha 90.00
_cell_angle_beta 90.00
_cell_angle_gamma 90.00
loop_
_atom_site_label
_atom_site_fract_x
_atom_site_fract_y
_atom_site_fract_z
Mn1 0.000 0.000 0.000
B1 0.500 0.500 0.500
Pd1 0.000 0.000 0.500
```

---

Stability summary: most stable *1*, least stable *2*.

---

*1*
Density functional theory data (GGA-PBE) for an optimized crystal structure of MnBPd5.

```
data_MnBPd5
_symmetry_space_group_name_H-M 'C 1 2/c 1'
_symmetry_Int_Tables_number 15
_cell_length_a 9.448
_cell_length_b 6.982
_cell_length_c 8.324
_cell_angle_alpha 90.00
_cell_angle_beta 123.26
_cell_angle_gamma 90.00
loop_
_symmetry_equiv_pos_as_xyz
'x,y,z'
'-x,-y,-z'
'-x,y,-z+1/2'
'x,-y,z+1/2'
'x+1/2,y+1/2,z'
'-x+1/2,-y+1/2,-z'
'-x+1/2,y+1/2,-z+1/2'
'x+1/2,-y+1/2,z+1/2'
loop_
_atom_site_label
_atom_site_fract_x
_atom_site_fract_y
_atom_site_fract_z
Mn1 0.000 0.180 0.250
B1 0.000 0.500 0.000
Pd1 0.000 0.453 0.750
Pd2 0.075 0.151 0.976
Pd3 0.249 0.459 0.186
```

---

*2*
Density functional theory data (GGA-PBE) for an optimized crystal structure of MnBPd5.

```
data_MnBPd5
_symmetry_space_group_name_H-M 'P 4/m m m'
_symmetry_Int_Tables_number 123
_symmetry_space_group_name_Hall '-P 4 2'
_cell_length_a 3.817
_cell_length_b 3.817
_cell_length_c 6.776
_cell_angle_alpha 90.00
_cell_angle_beta 90.00
_cell_angle_gamma 90.00
loop_
_atom_site_label
_atom_site_fract_x
_atom_site_fract_y
_atom_site_fract_z
Mn1 0.000 0.000 0.000
B1 0.500 0.500 0.500
Pd1 0.000 0.500 0.304
Pd2 0.500 0.500 0.000
```

---

Stability summary: most stable *2*, least stable *1*.

---

*1*
Density functional theory data (GGA-PBE) for an optimized crystal structure of MnB3Pt.

```
data_MnB3Pt
_symmetry_space_group_name_H-M 'P m -3 m'
_symmetry_Int_Tables_number 221
_symmetry_space_group_name_Hall '-P 4 2 3'
_cell_length_a 3.782
_cell_length_b 3.782
_cell_length_c 3.782
_cell_angle_alpha 90.00
_cell_angle_beta 90.00
_cell_angle_gamma 90.00
loop_
_atom_site_label
_atom_site_fract_x
_atom_site_fract_y
_atom_site_fract_z
Mn1 0.000 0.000 0.000
B1 0.000 0.000 0.500
Pt1 0.500 0.500 0.500
```

---

*2*
Density functional theory data (GGA-PBE) for an optimized crystal structure of MnB3Pt.

```
data_MnB3Pt
_symmetry_space_group_name_H-M 'P m -3 m'
_symmetry_Int_Tables_number 221
_symmetry_space_group_name_Hall '-P 4 2 3'
_cell_length_a 4.044
_cell_length_b 4.044
_cell_length_c 4.044
_cell_angle_alpha 90.00
_cell_angle_beta 90.00
_cell_angle_gamma 90.00
loop_
_atom_site_label
_atom_site_fract_x
_atom_site_fract_y
_atom_site_fract_z
Mn1 0.000 0.000 0.000
B1 0.000 0.500 0.500
Pt1 0.500 0.500 0.500
```

---

Stability summary: most stable *1*, least stable *2*.

---

*1*
Density functional theory data (GGA-PBE) for an optimized crystal structure of Mn3ReB.

```
data_Mn3ReB
_symmetry_space_group_name_H-M 'P m -3 m'
_symmetry_Int_Tables_number 221
_symmetry_space_group_name_Hall '-P 4 2 3'
_cell_length_a 4.581
_cell_length_b 4.581
_cell_length_c 4.581
_cell_angle_alpha 90.00
_cell_angle_beta 90.00
_cell_angle_gamma 90.00
loop_
_atom_site_label
_atom_site_fract_x
_atom_site_fract_y
_atom_site_fract_z
Mn1 0.000 0.000 0.500
Re1 0.000 0.000 0.000
B1 0.500 0.500 0.500
```

---

*2*
Density functional theory data (GGA-PBE) for an optimized crystal structure of Mn3ReB.

```
data_Mn3ReB
_symmetry_space_group_name_H-M 'P m -3 m'
_symmetry_Int_Tables_number 221
_symmetry_space_group_name_Hall '-P 4 2 3'
_cell_length_a 3.797
_cell_length_b 3.797
_cell_length_c 3.797
_cell_angle_alpha 90.00
_cell_angle_beta 90.00
_cell_angle_gamma 90.00
loop_
_atom_site_label
_atom_site_fract_x
_atom_site_fract_y
_atom_site_fract_z
Mn1 0.000 0.000 0.500
Re1 0.500 0.500 0.500
B1 0.000 0.000 0.000
```

---

Stability summary: most stable *2*, least stable *1*.

---

*1*
Density functional theory data (GGA-PBE) for an optimized crystal structure of Mn3BRu.

```
data_Mn3BRu
_symmetry_space_group_name_H-M 'P m -3 m'
_symmetry_Int_Tables_number 221
_symmetry_space_group_name_Hall '-P 4 2 3'
_cell_length_a 4.679
_cell_length_b 4.679
_cell_length_c 4.679
_cell_angle_alpha 90.00
_cell_angle_beta 90.00
_cell_angle_gamma 90.00
loop_
_atom_site_label
_atom_site_fract_x
_atom_site_fract_y
_atom_site_fract_z
Mn1 0.000 0.000 0.500
B1 0.500 0.500 0.500
Ru1 0.000 0.000 0.000
```

---

*2*
Density functional theory data (GGA-PBE) for an optimized crystal structure of Mn3BRu.

```
data_Mn3BRu
_symmetry_space_group_name_H-M 'P m -3 m'
_symmetry_Int_Tables_number 221
_symmetry_space_group_name_Hall '-P 4 2 3'
_cell_length_a 3.796
_cell_length_b 3.796
_cell_length_c 3.796
_cell_angle_alpha 90.00
_cell_angle_beta 90.00
_cell_angle_gamma 90.00
loop_
_atom_site_label
_atom_site_fract_x
_atom_site_fract_y
_atom_site_fract_z
Mn1 0.000 0.000 0.500
B1 0.000 0.000 0.000
Ru1 0.500 0.500 0.500
```

---

Stability summary: most stable *2*, least stable *1*.

---

*1*
Density functional theory data (GGA-PBE) for an optimized crystal structure of Mn2BS.

```
data_Mn2BS
_symmetry_space_group_name_H-M 'F m -3 m'
_symmetry_Int_Tables_number 225
_symmetry_space_group_name_Hall '-F 4 2 3'
_cell_length_a 5.311
_cell_length_b 5.311
_cell_length_c 5.311
_cell_angle_alpha 90.00
_cell_angle_beta 90.00
_cell_angle_gamma 90.00
loop_
_atom_site_label
_atom_site_fract_x
_atom_site_fract_y
_atom_site_fract_z
Mn1 0.250 0.250 0.250
B1 0.000 0.000 0.000
S1 0.000 0.000 0.500
```

---

*2*
Density functional theory data (GGA-PBE) for an optimized crystal structure of Mn2BS.

```
data_Mn2BS
_symmetry_space_group_name_H-M 'I -4 2 d'
_symmetry_Int_Tables_number 122
_symmetry_space_group_name_Hall 'I -4 2bw'
_cell_length_a 4.819
_cell_length_b 4.819
_cell_length_c 9.988
_cell_angle_alpha 90.00
_cell_angle_beta 90.00
_cell_angle_gamma 90.00
loop_
_atom_site_label
_atom_site_fract_x
_atom_site_fract_y
_atom_site_fract_z
Mn1 0.198 0.250 0.125
B1 0.000 0.000 0.000
S1 0.000 0.000 0.500
```

---

Stability summary: most stable *1*, least stable *2*.

---

*1*
Density functional theory data (GGA-PBE) for an optimized crystal structure of MnB3Sb.

```
data_MnB3Sb
_symmetry_space_group_name_H-M 'P m -3 m'
_symmetry_Int_Tables_number 221
_symmetry_space_group_name_Hall '-P 4 2 3'
_cell_length_a 3.954
_cell_length_b 3.954
_cell_length_c 3.954
_cell_angle_alpha 90.00
_cell_angle_beta 90.00
_cell_angle_gamma 90.00
loop_
_atom_site_label
_atom_site_fract_x
_atom_site_fract_y
_atom_site_fract_z
Mn1 0.000 0.000 0.000
B1 0.000 0.000 0.500
Sb1 0.500 0.500 0.500
```

---

*2*
Density functional theory data (GGA-PBE) for an optimized crystal structure of MnB3Sb.

```
data_MnB3Sb
_symmetry_space_group_name_H-M 'P m -3 m'
_symmetry_Int_Tables_number 221
_symmetry_space_group_name_Hall '-P 4 2 3'
_cell_length_a 4.397
_cell_length_b 4.397
_cell_length_c 4.397
_cell_angle_alpha 90.00
_cell_angle_beta 90.00
_cell_angle_gamma 90.00
loop_
_atom_site_label
_atom_site_fract_x
_atom_site_fract_y
_atom_site_fract_z
Mn1 0.000 0.000 0.000
B1 0.000 0.500 0.500
Sb1 0.500 0.500 0.500
```

---

Stability summary: most stable *1*, least stable *2*.